1.
Computed, not measured: a relaxed structure of SnBOs3 at the PBE level of DFT.

Properties
* ρ: 16.13 g/cm3
* formation energy from the elements: 34.48 kJ/mol of atoms
* polymorph energy (0 for the lowest one): 0.0 meV per atom
* E: -8.5165 eV per atom

abc: 4.161 4.161 4.161
angles: 90.00 90.00 90.00
Space group Pm-3m (No. 221)
Asymmetric unit:
Sn 0.000 0.000 0.000 (multiplicity 1)
B 0.500 0.500 0.500 (multiplicity 1)
Os 0.000 0.500 0.500 (multiplicity 3)

=====

2.
Computed, not measured: a relaxed structure of SnBOs2 at the PBE level of DFT.

Properties
* ρ: 11.65 g/cm3
* formation energy from the elements: 70.13 kJ/mol of atoms
* polymorph energy (0 for the lowest one): 0.0 meV per atom
* E: -7.5581 eV per atom

abc: 4.625 4.625 13.595
angles: 90.00 90.00 90.00
Space group I-42d (No. 122)
Asymmetric unit:
Sn 0.000 0.000 0.000 (multiplicity 4)
B 0.000 0.000 0.500 (multiplicity 4)
Os 0.103 0.250 0.625 (multiplicity 8)